(1)
5
Lattice="4.6272 0.0000 0.0000 0.0000 4.6272 0.0000 0.0000 0.0000 3.5486" Properties=species:S:1:pos:R:3 comment="SnPOF2 | the Alexandria database | GGA-PBE | optimized geometry" crystal_system=tetragonal m_tot_mub_per_cell=0.0 n_ef_per_ev_atom=0.4633 volume_a3_per_cell=75.98 space_group="P4/mmm (123)" pbc="T T T"
Sn 0.0000 0.0000 0.0000
P 2.3136 2.3136 1.7743
O 2.3136 2.3136 0.0000
F 0.0000 2.3136 1.7743
F 2.3136 0.0000 1.7743

***

(2)
5
Lattice="4.3905 0.0000 0.0000 0.0000 4.3905 0.0000 0.0000 0.0000 4.0876" Properties=species:S:1:pos:R:3 comment="SnPOF2 | the Alexandria database | GGA-PBE | optimized geometry" crystal_system=tetragonal m_tot_mub_per_cell=2.4 n_ef_per_ev_atom=0.7219 volume_a3_per_cell=78.79 space_group="P4/mmm (123)" pbc="T T T"
Sn 0.0000 0.0000 0.0000
P 2.1952 2.1952 2.0438
O 0.0000 0.0000 2.0438
F 0.0000 2.1952 0.0000
F 2.1952 0.0000 0.0000

***

Quick one: most stable of them? (1)

***

(1)
5
Lattice="3.8377 0.0000 0.0000 0.0000 3.8377 0.0000 0.0000 0.0000 4.4000" Properties=species:S:1:pos:R:3 comment="TaP2OF | the Alexandria database | GGA-PBE | optimized geometry" crystal_system=tetragonal m_tot_mub_per_cell=0.0 n_ef_per_ev_atom=0.4454 volume_a3_per_cell=64.80 space_group="P4/mmm (123)" pbc="T T T"
Ta 0.0000 0.0000 0.0000
P 0.0000 1.9188 2.2000
P 1.9188 0.0000 2.2000
O 1.9188 1.9188 0.0000
F 1.9188 1.9188 2.2000

***

(2)
5
Lattice="4.9250 0.0000 0.0000 0.0000 4.9250 0.0000 0.0000 0.0000 3.8756" Properties=species:S:1:pos:R:3 comment="TaP2OF | the Alexandria database | GGA-PBE | optimized geometry" crystal_system=tetragonal m_tot_mub_per_cell=1.7 n_ef_per_ev_atom=0.4952 volume_a3_per_cell=94.00 space_group="P4/mmm (123)" pbc="T T T"
Ta 0.0000 0.0000 0.0000
P 0.0000 2.4625 0.0000
P 2.4625 0.0000 0.0000
O 0.0000 0.0000 1.9378
F 2.4625 2.4625 1.9378

***

Quick one: most stable of them? (2)

***

(1)
5
Lattice="3.8957 0.0000 0.0000 0.0000 3.8957 0.0000 0.0000 0.0000 4.1904" Properties=species:S:1:pos:R:3 comment="TcP2OF | the Alexandria database | GGA-PBE | optimized geometry" crystal_system=tetragonal m_tot_mub_per_cell=0.0 n_ef_per_ev_atom=0.9067 volume_a3_per_cell=63.60 space_group="P4/mmm (123)" pbc="T T T"
Tc 0.0000 0.0000 0.0000
P 0.0000 1.9479 2.0952
P 1.9479 0.0000 2.0952
O 1.9479 1.9479 0.0000
F 1.9479 1.9479 2.0952

***

(2)
5
Lattice="4.6609 0.0000 0.0000 0.0000 4.6609 0.0000 0.0000 0.0000 3.7273" Properties=species:S:1:pos:R:3 comment="TcP2OF | the Alexandria database | GGA-PBE | optimized geometry" crystal_system=tetragonal m_tot_mub_per_cell=0.0 n_ef_per_ev_atom=0.7850 volume_a3_per_cell=80.97 space_group="P4/mmm (123)" pbc="T T T"
Tc 0.0000 0.0000 0.0000
P 0.0000 2.3304 0.0000
P 2.3304 0.0000 0.0000
O 0.0000 0.0000 1.8637
F 2.3304 2.3304 1.8637

***

Quick one: most stable of them? (2)

***

(1)
5
Lattice="4.0277 0.0000 0.0000 0.0000 4.0277 0.0000 0.0000 0.0000 4.2579" Properties=species:S:1:pos:R:3 comment="TiP2OF | the Alexandria database | GGA-PBE | optimized geometry" crystal_system=tetragonal m_tot_mub_per_cell=0.9 n_ef_per_ev_atom=0.6019 volume_a3_per_cell=69.07 space_group="P4/mmm (123)" pbc="T T T"
Ti 0.0000 0.0000 0.0000
P 0.0000 2.0139 2.1290
P 2.0139 0.0000 2.1290
O 0.0000 0.0000 2.1290
F 2.0139 2.0139 0.0000

***

(2)
5
Lattice="3.8649 0.0000 0.0000 0.0000 3.8649 0.0000 0.0000 0.0000 4.4694" Properties=species:S:1:pos:R:3 comment="TiP2OF | the Alexandria database | GGA-PBE | optimized geometry" crystal_system=tetragonal m_tot_mub_per_cell=0.0 n_ef_per_ev_atom=0.6653 volume_a3_per_cell=66.76 space_group="P4/mmm (123)" pbc="T T T"
Ti 0.0000 0.0000 0.0000
P 0.0000 1.9325 2.2347
P 1.9325 0.0000 2.2347
O 1.9325 1.9325 0.0000
F 1.9325 1.9325 2.2347

***

(3)
5
Lattice="4.8266 0.0000 0.0000 0.0000 4.8266 0.0000 0.0000 0.0000 3.7154" Properties=species:S:1:pos:R:3 comment="TiP2OF | the Alexandria database | GGA-PBE | optimized geometry" crystal_system=tetragonal m_tot_mub_per_cell=1.0 n_ef_per_ev_atom=0.7989 volume_a3_per_cell=86.56 space_group="P4/mmm (123)" pbc="T T T"
Ti 0.0000 0.0000 0.0000
P 0.0000 2.4133 0.0000
P 2.4133 0.0000 0.0000
O 0.0000 0.0000 1.8577
F 2.4133 2.4133 1.8577

***

Quick one: most stable of them? (3)

***

(1)
5
Lattice="4.4982 0.0000 0.0000 0.0000 4.4982 0.0000 0.0000 0.0000 3.4700" Properties=species:S:1:pos:R:3 comment="TiPOF2 | the Alexandria database | GGA-PBE | optimized geometry" crystal_system=tetragonal m_tot_mub_per_cell=2.6 n_ef_per_ev_atom=1.1349 volume_a3_per_cell=70.21 space_group="P4/mmm (123)" pbc="T T T"
Ti 0.0000 0.0000 0.0000
P 2.2491 2.2491 1.7350
O 2.2491 2.2491 0.0000
F 0.0000 2.2491 1.7350
F 2.2491 0.0000 1.7350

***

(2)
5
Lattice="4.1392 0.0000 0.0000 0.0000 4.1392 0.0000 0.0000 0.0000 3.8575" Properties=species:S:1:pos:R:3 comment="TiPOF2 | the Alexandria database | GGA-PBE | optimized geometry" crystal_system=tetragonal m_tot_mub_per_cell=3.0 n_ef_per_ev_atom=0.6979 volume_a3_per_cell=66.09 space_group="P4/mmm (123)" pbc="T T T"
Ti 0.0000 0.0000 0.0000
P 2.0696 2.0696 1.9287
O 0.0000 0.0000 1.9287
F 0.0000 2.0696 0.0000
F 2.0696 0.0000 0.0000

***

Quick one: most stable of them? (2)